(1)
Entry from Alexandria via LeMat-Bulk: a relaxed Sm8Al2Os crystal (PBE).

Cell and atoms, written as extended XYZ:
```
11
Lattice="5.3087 0.0000 0.0000 0.0000 7.0398 -0.0383 -2.6544 -3.0627 8.3447" Properties=species:S:1:pos:R:3 pbc="T T T"
Sm 2.6544 3.2966 4.9464
Sm 0.0000 5.4043 0.1948
Sm 0.0000 0.6805 3.3600
Al 0.0000 3.7789 2.9909
Sm 2.6544 5.6463 2.4828
Sm 0.0000 -1.6693 5.8236
Al 2.6544 0.1981 5.3155
Os 2.6544 0.0000 0.0000
Sm 0.0000 1.6320 6.6683
Sm 2.6544 2.3450 1.6381
Sm 2.6544 -1.4273 8.1116
```

Results
ΔH_f (0 K) in eV/atom: -0.16


(2)
Entry from Alexandria via LeMat-Bulk: a relaxed AlSi2Se crystal (PBE).

Cell and atoms, written as extended XYZ:
```
4
Lattice="-3.4890 -0.0438 4.6589 -3.1253 -3.5582 3.3841 2.1990 -0.8067 2.8511" Properties=species:S:1:pos:R:3 pbc="T T T"
Si -2.1758 -2.1639 5.3445
Al -0.0043 -1.5055 4.1491
Se -4.4109 -2.9032 6.7450
Si -0.0318 -0.0405 0.1025
```

Results
E_form (uncorrected) in eV/atom: 0.098


(3)
Entry from Alexandria via LeMat-Bulk: a relaxed Sb2OsCl crystal (PBE).

Cell and atoms, written as extended XYZ:
```
4
Lattice="-1.2129 4.5851 1.1264 -4.1026 0.8981 2.4748 0.2271 1.5145 4.6279" Properties=species:S:1:pos:R:3 pbc="T T T"
Sb -1.2721 1.7494 2.0573
Sb 0.0000 0.0000 0.0000
Os -3.8163 5.2482 6.1718
Cl -2.5442 3.4988 4.1146
```

Results
E_form (uncorrected) in eV/atom: 0.841


Record-wise electronic total energy values, in eV/atom: -5.294; -4.420; -4.490